LaGaF2: relaxed, PBE.

**Crystal system**: trigonal
**Electronic total energy**: -5.13 eV per atom
**Formation energy without anion corrections**: -2.202 eV per atom

Cell: 8.660 8.660 8.660 Å, 22.67 22.67 22.67°
Element x y z (fractional)
La 0.000 0.000 0.000
Ga 0.500 0.500 0.500
F 0.396 0.396 0.396
F 0.604 0.604 0.604

***

La4Ga2F: relaxed, PBE.

**Crystal system**: tetragonal
**Electronic total energy**: -4.92 eV per atom
**Formation energy without anion corrections**: -0.972 eV per atom

Cell: 9.042 9.042 9.042 Å, 148.60 148.60 45.00°
Element x y z (fractional)
La 0.000 0.500 0.500
La 0.186 0.186 0.000
La 0.500 0.000 0.500
La 0.814 0.814 0.000
Ga 0.369 0.369 0.000
Ga 0.631 0.631 0.000
F 0.000 0.000 0.000

***

La2Ga2F: relaxed, PBE.

**Crystal system**: tetragonal
**Electronic total energy**: -4.80 eV per atom
**Formation energy without anion corrections**: -1.245 eV per atom

Cell: 7.192 7.192 4.937 Å, 90.00 90.00 90.00°
Element x y z (fractional)
La 0.175 0.325 0.000
La 0.325 0.825 0.000
La 0.675 0.175 0.000
La 0.825 0.675 0.000
Ga 0.129 0.629 0.500
Ga 0.371 0.129 0.500
Ga 0.629 0.871 0.500
Ga 0.871 0.371 0.500
F 0.000 0.000 0.000
F 0.500 0.500 0.000

***

LaGaF2: relaxed, PBE.

**Crystal system**: tetragonal
**Electronic total energy**: -5.20 eV per atom
**Formation energy without anion corrections**: -2.275 eV per atom

Cell: 8.178 8.178 8.178 Å, 142.33 142.33 54.33°
Element x y z (fractional)
La 0.000 0.000 0.000
La 0.750 0.250 0.500
Ga 0.250 0.750 0.500
Ga 0.500 0.500 0.000
F 0.375 0.213 0.338
F 0.787 0.125 0.162
F 0.875 0.037 0.662
F 0.963 0.625 0.838

***

LaGaF2: relaxed, PBE.

**Crystal system**: trigonal
**Electronic total energy**: -5.09 eV per atom
**Formation energy without anion corrections**: -2.167 eV per atom

Cell: 4.907 4.907 4.907 Å, 54.33 54.33 54.33°
Element x y z (fractional)
La 0.000 0.000 0.000
Ga 0.500 0.500 0.500
F 0.192 0.192 0.192
F 0.808 0.808 0.808

***

LaGaF: relaxed, PBE.

**Crystal system**: trigonal
**Electronic total energy**: -5.45 eV per atom
**Formation energy without anion corrections**: -2.180 eV per atom

Cell: 8.434 8.434 8.434 Å, 29.06 29.06 29.06°
Element x y z (fractional)
La 0.092 0.092 0.092
La 0.908 0.908 0.908
Ga 0.348 0.348 0.348
Ga 0.652 0.652 0.652
F 0.196 0.196 0.196
F 0.804 0.804 0.804

***

LaGaF6: relaxed, PBE.

**Crystal system**: monoclinic
**Electronic total energy**: -5.72 eV per atom
**Formation energy without anion corrections**: -3.327 eV per atom

Cell: 4.688 4.688 4.688 Å, 97.70 97.70 98.18°
Element x y z (fractional)
La 0.000 0.000 0.000
Ga 0.500 0.500 0.500
F 0.205 0.566 0.206
F 0.206 0.206 0.572
F 0.434 0.795 0.794
F 0.566 0.205 0.206
F 0.794 0.794 0.428
F 0.795 0.434 0.794

***

Li2LaGaF: relaxed, PBE.

**Crystal system**: tetragonal
**Electronic total energy**: -3.94 eV per atom
**Formation energy without anion corrections**: -1.206 eV per atom

Cell: 4.353 4.353 5.090 Å, 90.00 90.00 90.00°
Element x y z (fractional)
Li 0.000 0.500 0.000
Li 0.500 0.000 0.000
La 0.000 0.000 0.500
Ga 0.500 0.500 0.500
F 0.000 0.000 0.000

***

LiLa2GaF: relaxed, PBE.

**Crystal system**: tetragonal
**Electronic total energy**: -4.63 eV per atom
**Formation energy without anion corrections**: -1.298 eV per atom

Cell: 5.286 5.286 3.920 Å, 90.00 90.00 90.00°
Element x y z (fractional)
Li 0.000 0.000 0.000
La 0.000 0.500 0.500
La 0.500 0.000 0.500
Ga 0.500 0.500 0.000
F 0.000 0.000 0.500

***

Li2LaGaF8: relaxed, PBE.

**Crystal system**: triclinic
**Electronic total energy**: -5.42 eV per atom
**Formation energy without anion corrections**: -3.191 eV per atom

Cell: 4.533 4.859 7.103 Å, 85.01 89.32 87.75°
Element x y z (fractional)
Li 0.030 0.031 0.308
Li 0.970 0.969 0.692
La 0.500 0.500 0.000
Ga 0.500 0.500 0.500
F 0.120 0.218 0.053
F 0.202 0.237 0.509
F 0.315 0.700 0.699
F 0.322 0.720 0.280
F 0.678 0.280 0.720
F 0.685 0.300 0.301
F 0.798 0.763 0.491
F 0.880 0.782 0.947

***

LaGaN2F: relaxed, PBE.

**Crystal system**: tetragonal
**Electronic total energy**: -5.44 eV per atom
**Formation energy without anion corrections**: -0.142 eV per atom

Cell: 4.413 4.413 4.776 Å, 90.00 90.00 90.00°
Element x y z (fractional)
La 0.000 0.000 0.000
Ga 0.500 0.500 0.500
N 0.000 0.500 0.000
N 0.500 0.000 0.000
F 0.000 0.000 0.500

***

LaGaN2F: relaxed, PBE.

**Crystal system**: tetragonal
**Electronic total energy**: -6.40 eV per atom
**Formation energy without anion corrections**: -1.105 eV per atom

Cell: 3.957 3.957 4.070 Å, 90.00 90.00 90.00°
Element x y z (fractional)
La 0.000 0.000 0.000
Ga 0.500 0.500 0.500
N 0.000 0.500 0.500
N 0.500 0.000 0.500
F 0.500 0.500 0.000

***

Repeat the sixth record exactly.
LaGaF: relaxed, PBE.

**Crystal system**: trigonal
**Electronic total energy**: -5.45 eV per atom
**Formation energy without anion corrections**: -2.180 eV per atom

Cell: 8.434 8.434 8.434 Å, 29.06 29.06 29.06°
Element x y z (fractional)
La 0.092 0.092 0.092
La 0.908 0.908 0.908
Ga 0.348 0.348 0.348
Ga 0.652 0.652 0.652
F 0.196 0.196 0.196
F 0.804 0.804 0.804

***

electronic total energy of number 4 (LaGaF2)?
-5.20 eV per atom

***

The highest electronic total energy belongs to which entry?
Li2LaGaF